## Pm2NdUS8 (PBE-GGA)

Data for an optimized crystal structure of Pm2NdUS8.

Values from the calculation:
DFT total energy (eV/atom): -6.36
M_tot (μB per atom): 0.00
E_form (uncorrected) (meV/atom): -1476

a = 6.0725 Å, b = 6.3006 Å, c = 8.4017 Å
α = 89.98°, β = 89.87°, γ = 88.81°
Last column: nearest neighbours and their distance in Å.
Space group P-1 (No. 2)
Symmetry-distinct sites (fractional):
Pm: 0.0015 0.4992 0.2455 x2  6 S 2.78-2.85
Nd: 0.5000 0.0000 0.5000 x1  6 S 2.84-2.93
U: 0.5000 0.0000 0.0000 x1  6 S 2.56-2.57
S: 0.2548 0.8752 0.2293 x2  1 U 2.57, 1 Nd 2.84, 1 Pm 2.85
S: 0.2564 0.8735 0.7717 x2  1 U 2.56, 1 Nd 2.84, 1 Pm 2.85
S: 0.2648 0.3433 0.9988 x2  1 U 2.57, 2 Pm 2.78-2.79
S: 0.2924 0.4238 0.5003 x2  1 S 2.72, 2 Pm 2.81-2.82, 1 Nd 2.93